# 1
Ho3Tm2Tl2 | PBE | relaxed

Geometry as extended XYZ:
```
7
Lattice="2.494 -11.589 0.000 2.494 11.589 0.000 0.000 0.000 3.469" Properties=species:S:1:pos:R:3 pbc="T T T"
Ho 0.000 0.000 0.000
Ho 2.494 8.164 0.000
Ho 2.494 -8.164 0.000
Tm 2.494 4.964 1.735
Tm 2.494 -4.964 1.735
Tl 2.494 1.692 1.735
Tl 2.494 -1.692 1.735
```

Properties
The total energy is -3.998 eV/atom. The calculation puts the relative energy among the computed polymorphs at 0.105 eV/atom. The formation energy is -0.083 eV per atom.

# 2
Ho6TmTl3 | PBE | relaxed

Geometry as extended XYZ:
```
20
Lattice="10.186 0.000 0.000 0.000 5.149 0.000 -2.492 0.000 11.092" Properties=species:S:1:pos:R:3 pbc="T T T"
Ho -0.347 1.287 4.520
Ho 1.114 3.862 2.032
Ho -0.085 1.287 10.975
Ho 1.179 3.862 8.731
Ho 3.163 1.287 3.247
Ho 2.472 1.287 6.711
Ho 5.222 3.862 4.381
Ho 4.531 3.862 7.845
Ho 6.515 1.287 2.362
Ho 7.778 3.862 0.117
Ho 6.579 1.287 9.060
Ho 8.041 3.862 6.572
Tm 4.443 3.862 1.066
Tm 3.250 1.287 10.027
Tl -1.880 3.862 9.877
Tl -0.574 1.287 7.716
Tl 1.795 3.862 5.114
Tl 5.899 1.287 5.978
Tl 8.268 3.862 3.376
Tl 9.574 1.287 1.215
```

Properties
The total energy is -4.092 eV/atom. The formation energy is -0.188 eV per atom.

# 3
Ho5Tm3Tl2 | PBE | relaxed

Geometry as extended XYZ:
```
20
Lattice="-6.396 7.683 3.181 6.396 -7.683 3.181 6.396 7.683 -3.181" Properties=species:S:1:pos:R:3 pbc="T T T"
Ho 1.397 2.563 0.000
Ho 3.216 7.683 -1.591
Ho 0.000 0.000 1.591
Ho 3.180 0.000 1.591
Ho 7.793 5.119 0.000
Ho -1.397 2.563 3.181
Ho 3.216 7.683 1.591
Ho 0.000 0.000 4.772
Ho 3.180 0.000 4.772
Ho 4.999 5.119 3.181
Tm 4.835 3.306 0.000
Tm 6.396 0.000 1.591
Tm 4.835 -3.306 3.181
Tm 1.561 10.988 0.000
Tm 0.000 7.683 1.591
Tm 1.561 4.377 3.181
Tl 8.057 2.213 0.000
Tl 1.661 5.470 0.000
Tl 4.735 2.213 3.181
Tl -1.661 5.470 3.181
```

Properties
The total energy is -3.928 eV/atom. The formation energy is 0.176 eV per atom.

# 4
HoTm8Tl6 | PBE | relaxed

Geometry as extended XYZ:
```
15
Lattice="4.479 2.586 6.496 -4.479 2.586 6.496 0.000 -5.172 6.496" Properties=species:S:1:pos:R:3 pbc="T T T"
Ho 0.000 0.000 0.000
Tm -1.497 -2.584 8.632
Tm -2.987 0.005 10.855
Tm 0.000 0.000 6.497
Tm -1.489 2.589 8.632
Tm 1.489 -2.589 10.855
Tm 0.000 0.000 12.990
Tm 2.987 -0.005 8.632
Tm 1.497 2.584 10.855
Tl -2.981 -0.004 7.772
Tl -1.486 -2.583 11.715
Tl 1.494 -2.579 7.772
Tl -1.494 2.579 11.715
Tl 1.486 2.583 7.772
Tl 2.981 0.004 11.715
```

Properties
The total energy is -3.745 eV/atom. The formation energy is -0.109 eV per atom.

# 5
HoTm4Tl7 | PBE | relaxed

Geometry as extended XYZ:
```
12
Lattice="6.747 -2.820 0.000 6.747 2.820 0.000 -6.221 0.000 9.339" Properties=species:S:1:pos:R:3 pbc="T T T"
Ho 0.000 0.000 0.000
Tm -0.374 0.000 6.295
Tm 4.284 0.000 2.021
Tm 2.989 0.000 7.318
Tm 7.648 0.000 3.044
Tl -0.945 0.000 3.073
Tl -2.693 0.000 8.354
Tl 2.116 0.000 4.226
Tl 6.747 0.000 0.000
Tl 5.158 0.000 5.114
Tl 9.967 0.000 0.985
Tl 8.218 0.000 6.266
```

Properties
The total energy is -3.325 eV/atom. The formation energy is -0.072 eV per atom.

# 6
Ho6Tm2Tl | PBE | relaxed

Geometry as extended XYZ:
```
18
Lattice="6.484 -6.779 0.000 6.484 6.779 0.000 -0.541 0.000 6.316" Properties=species:S:1:pos:R:3 pbc="T T T"
Ho 1.270 0.966 0.487
Ho 4.849 4.036 2.550
Ho 1.000 -0.966 3.645
Ho 4.175 2.360 5.837
Ho 7.849 4.036 0.608
Ho 7.982 2.360 3.638
Ho 4.445 -2.360 2.679
Ho 4.579 -4.036 5.708
Ho 8.253 -2.360 0.480
Ho 11.428 0.966 2.671
Ho 7.579 -4.036 3.766
Ho 11.158 -0.966 5.829
Tm 3.646 0.859 2.792
Tm 3.376 -0.859 5.950
Tm 9.052 0.859 0.366
Tm 8.781 -0.859 3.525
Tl 6.349 0.198 1.579
Tl 6.079 -0.198 4.737
```

Properties
The total energy is -4.270 eV/atom. The calculation puts the relative energy among the computed polymorphs at 0.077 eV/atom. The formation energy is 0.038 eV per atom.

# 7
Ho5Tm4Tl4 | PBE | relaxed

Geometry as extended XYZ:
```
13
Lattice="-6.083 6.083 2.511 6.083 -6.083 2.511 6.083 6.083 -2.511" Properties=species:S:1:pos:R:3 pbc="T T T"
Ho 0.000 0.000 0.000
Ho 4.865 3.809 0.000
Ho 2.274 -1.218 2.511
Ho 3.809 7.300 0.000
Ho 1.218 2.274 2.511
Tm 7.334 1.169 0.000
Tm 1.169 4.832 0.000
Tm 4.914 1.251 2.511
Tm -1.251 4.914 2.511
Tl 2.868 1.258 0.000
Tl 4.825 -3.215 2.511
Tl 1.258 9.298 0.000
Tl 3.215 4.825 2.511
```

Properties
The total energy is -4.111 eV/atom. The formation energy is -0.247 eV per atom.

# 8
Ho4Tm2Tl | PBE | relaxed

Geometry as extended XYZ:
```
28
Lattice="3.564 0.000 0.000 0.000 20.360 0.000 -1.522 0.000 11.582" Properties=species:S:1:pos:R:3 pbc="T T T"
Ho 0.022 4.375 0.107
Ho -0.739 5.805 5.898
Ho 1.041 10.249 1.545
Ho 0.280 20.290 7.337
Ho 1.018 11.674 4.600
Ho 0.257 18.865 10.391
Ho 0.550 4.167 8.590
Ho 1.311 6.013 2.799
Ho 0.731 14.347 8.783
Ho 1.492 16.193 2.992
Ho 1.786 1.495 1.192
Ho 1.024 8.685 6.983
Ho 1.762 0.069 4.246
Ho 1.001 10.111 10.037
Ho 2.781 14.555 5.684
Ho 2.020 15.985 11.476
Tm -0.829 11.673 7.499
Tm -0.068 18.867 1.708
Tm -0.060 3.105 3.694
Tm -0.821 7.075 9.486
Tm 2.863 13.285 2.097
Tm 2.102 17.255 7.888
Tm 2.110 1.493 9.875
Tm 2.872 8.687 4.083
Tl -0.854 12.676 10.922
Tl -0.093 17.864 5.131
Tl 2.135 2.496 6.452
Tl 2.897 7.684 0.660
```

Properties
The total energy is -4.279 eV/atom. The calculation puts the relative energy among the computed polymorphs at 0.000 eV/atom. The formation energy is -0.048 eV per atom.

# 9
Ho3Tm4Tl2 | PBE | relaxed

Geometry as extended XYZ:
```
9
Lattice="5.964 -2.660 0.000 5.964 2.660 0.000 -5.923 0.000 8.209" Properties=species:S:1:pos:R:3 pbc="T T T"
Ho 0.000 0.000 0.000
Ho 2.328 0.000 2.634
Ho 3.677 0.000 5.575
Tm -1.373 0.000 3.518
Tm -2.264 0.000 7.540
Tm 8.269 0.000 0.669
Tm 7.378 0.000 4.691
Tl 0.508 0.000 6.114
Tl 5.497 0.000 2.095
```

Properties
The total energy is -4.191 eV/atom. The formation energy is -0.152 eV per atom.

# 10
HoTm2Tl2 | PBE | relaxed

Geometry as extended XYZ:
```
10
Lattice="5.208 0.000 0.000 -2.602 6.033 0.000 -0.001 -2.252 8.747" Properties=species:S:1:pos:R:3 pbc="T T T"
Ho 0.004 -0.003 3.099
Ho 2.601 3.785 5.648
Tm 0.002 1.332 6.569
Tm 0.004 4.901 1.252
Tm 2.601 -1.119 7.495
Tm 2.603 2.450 2.178
Tl -0.003 1.548 0.384
Tl -0.002 3.370 3.957
Tl 2.607 0.412 4.790
Tl 2.608 2.233 8.363
```

Properties
The total energy is -3.914 eV/atom. The calculation puts the relative energy among the computed polymorphs at 0.000 eV/atom. The formation energy is -0.263 eV per atom.

# 11
Ho3TmTl5 | PBE | relaxed

Geometry as extended XYZ:
```
18
Lattice="9.296 0.000 0.000 -4.648 8.050 0.000 0.000 0.000 6.555" Properties=species:S:1:pos:R:3 pbc="T T T"
Ho -1.715 2.970 1.639
Ho -2.933 5.080 4.916
Ho 3.430 0.000 1.639
Ho 1.715 2.970 4.916
Ho 5.866 0.000 4.916
Ho 2.933 5.080 1.639
Tm 0.000 0.000 0.000
Tm 0.000 0.000 3.277
Tl -1.382 2.394 4.916
Tl -3.266 5.656 1.639
Tl 2.764 0.000 4.916
Tl 1.382 2.394 1.639
Tl 0.000 5.367 0.000
Tl 0.000 5.367 3.277
Tl 4.648 2.683 0.000
Tl 4.648 2.683 3.277
Tl 6.531 0.000 1.639
Tl 3.266 5.656 4.916
```

Properties
The total energy is -3.616 eV/atom. The formation energy is -0.278 eV per atom.

# 12
Ho3TmTl4 | PBE | relaxed

Geometry as extended XYZ:
```
16
Lattice="10.484 0.000 0.000 0.000 6.516 0.000 0.000 0.000 6.523" Properties=species:S:1:pos:R:3 pbc="T T T"
Ho 0.000 0.297 0.000
Ho 2.614 4.878 1.242
Ho 2.628 1.638 4.504
Ho 5.242 6.220 3.262
Ho 7.856 1.638 4.504
Ho 7.870 4.878 1.242
Tm 0.000 3.546 5.742
Tm 5.242 2.971 2.480
Tl 0.000 0.075 3.213
Tl 0.000 3.328 2.533
Tl 2.606 4.895 4.505
Tl 2.636 1.622 1.244
Tl 5.242 3.189 5.795
Tl 5.242 6.441 6.475
Tl 7.847 1.622 1.244
Tl 7.878 4.895 4.505
```

Properties
The total energy is -3.658 eV/atom. The calculation puts the relative energy among the computed polymorphs at 0.120 eV/atom. The formation energy is -0.199 eV per atom.

# 13
Ho4TmTl4 | PBE | relaxed

Geometry as extended XYZ:
```
18
Lattice="9.375 0.000 0.000 0.000 9.375 0.000 0.000 0.000 5.868" Properties=species:S:1:pos:R:3 pbc="T T T"
Ho 0.846 7.747 0.769
Ho 1.628 5.533 3.703
Ho 3.060 8.529 3.703
Ho 3.842 6.315 0.769
Ho 5.533 3.060 5.099
Ho 6.315 0.846 2.165
Ho 7.747 3.842 2.165
Ho 8.529 1.628 5.099
Tm 2.344 2.344 4.401
Tm 7.031 7.031 1.467
Tl 0.394 1.389 2.128
Tl 1.389 4.294 0.806
Tl 3.298 0.394 0.806
Tl 4.294 3.298 2.128
Tl 5.081 6.077 3.740
Tl 6.077 8.981 5.062
Tl 7.986 5.081 5.062
Tl 8.981 7.986 3.740
```

Properties
The total energy is -3.734 eV/atom. The formation energy is -0.151 eV per atom.

# 14
HoTm6Tl5 | PBE | relaxed

Geometry as extended XYZ:
```
12
Lattice="-2.476 4.370 7.517 2.476 -4.370 7.517 2.476 4.370 -7.517" Properties=species:S:1:pos:R:3 pbc="T T T"
Ho 0.000 0.000 0.000
Tm 2.476 -2.061 4.968
Tm 2.476 2.409 0.000
Tm 0.000 2.309 2.549
Tm 2.476 2.061 4.968
Tm 0.000 1.961 7.517
Tm 0.000 6.432 2.549
Tl 2.476 0.000 2.202
Tl 0.000 0.000 4.796
Tl 0.000 4.370 0.000
Tl 0.000 0.000 10.239
Tl 0.000 4.370 5.315
```

Properties
The total energy is -3.846 eV/atom. The formation energy is -0.242 eV per atom.

# 15
Ho12Tm2Tl | PBE | relaxed

Geometry as extended XYZ:
```
15
Lattice="3.564 0.000 0.000 0.000 5.361 0.000 -0.130 0.000 24.334" Properties=species:S:1:pos:R:3 pbc="T T T"
Ho 0.784 0.000 1.527
Ho 0.849 0.000 4.866
Ho 0.830 0.000 8.070
Ho 0.822 2.681 10.310
Ho 0.829 0.000 13.497
Ho 0.838 2.681 21.150
Ho 2.596 2.681 3.184
Ho 2.605 0.000 10.837
Ho 2.612 2.681 14.024
Ho 2.604 0.000 16.263
Ho 2.585 0.000 19.468
Ho 2.649 0.000 22.807
Tm 0.824 2.681 17.554
Tm 2.610 2.681 6.779
Tl 1.782 2.681 0.000
```

Properties
The total energy is -4.335 eV/atom. The formation energy is 0.081 eV per atom.

# 16
Ho5TmTl6 | PBE | relaxed

Geometry as extended XYZ:
```
12
Lattice="2.691 -8.071 0.000 2.691 8.071 0.000 0.000 0.000 7.437" Properties=species:S:1:pos:R:3 pbc="T T T"
Ho 0.000 0.000 0.000
Ho 2.691 2.700 0.000
Ho 2.691 2.689 3.719
Ho 2.691 -2.700 0.000
Ho 2.691 -2.689 3.719
Tm 0.000 0.000 3.719
Tl 2.691 5.390 1.867
Tl 2.691 5.390 5.570
Tl 2.691 0.000 1.866
Tl 2.691 0.000 5.571
Tl 2.691 -5.390 1.867
Tl 2.691 -5.390 5.570
```

Properties
The total energy is -3.783 eV/atom. The calculation puts the relative energy among the computed polymorphs at 0.000 eV/atom. The formation energy is -0.320 eV per atom.

# 17
Ho3Tm4Tl | PBE | relaxed

Geometry as extended XYZ:
```
8
Lattice="3.529 0.000 0.000 0.000 3.529 0.000 0.000 0.000 19.062" Properties=species:S:1:pos:R:3 pbc="T T T"
Ho 0.000 0.000 0.000
Ho 0.000 0.000 4.955
Ho 0.000 0.000 14.108
Tm 1.764 1.764 2.471
Tm 1.764 1.764 7.401
Tm 1.764 1.764 11.661
Tm 1.764 1.764 16.592
Tl 0.000 0.000 9.531
```

Properties
The total energy is -4.318 eV/atom. The formation energy is -0.070 eV per atom.

# 18
HoTm3Tl2 | PBE | relaxed

Geometry as extended XYZ:
```
12
Lattice="5.024 0.000 0.000 0.000 9.852 0.000 0.000 0.000 6.772" Properties=species:S:1:pos:R:3 pbc="T T T"
Ho 0.000 0.418 0.000
Ho 0.000 9.434 3.386
Tm 0.000 3.077 4.204
Tm 0.000 6.776 0.818
Tm 2.512 1.877 1.918
Tm 2.512 4.505 6.129
Tm 2.512 5.347 2.743
Tm 2.512 7.975 5.303
Tl 0.000 3.627 1.082
Tl 0.000 6.225 4.468
Tl 2.512 1.303 5.038
Tl 2.512 8.549 1.652
```

Properties
The total energy is -4.044 eV/atom. The calculation puts the relative energy among the computed polymorphs at 0.000 eV/atom. The formation energy is -0.257 eV per atom.